A plane-wave DFT calculation with PBE+U was carried out for an optimized crystal structure of KEuFeSnO6.

Cell and atoms, written as CIF:
```
data_KEuFeSnO6
_chemical_formula_sum 'K4 Eu4 Fe4 Sn4 O24'
_cell_length_a 8.019
_cell_length_b 8.019
_cell_length_c 8.019
_cell_angle_alpha 90.00
_cell_angle_beta 90.00
_cell_angle_gamma 90.00
_space_group_name_H-M_alt 'F -4 3 m'
_space_group_IT_number 216
_space_group_name_Hall 'F -4 2 3'
loop_
_atom_site_label
_atom_site_fract_x
_atom_site_fract_y
_atom_site_fract_z
K1 0.000 0.000 0.000
Eu1 0.000 0.000 0.500
Fe1 0.250 0.250 0.750
Sn1 0.250 0.250 0.250
O1 0.006 0.250 0.750
```

Calculated values
magnetic moment	40.3	μB per cell
DFT total energy	-6.72	eV/atom